# SrMg2TaPd | Alexandria via LeMat-Bulk | GGA-PBE | relaxed
data_SrMg2TaPd
_chemical_formula_sum 'Sr1 Mg2 Ta1 Pd1'
_cell_length_a 5.408
_cell_length_b 5.408
_cell_length_c 4.888
_cell_angle_alpha 90.00
_cell_angle_beta 90.00
_cell_angle_gamma 90.00
_symmetry_space_group_name_H-M 'P 4/m m m'
_symmetry_Int_Tables_number 123
_symmetry_space_group_name_Hall '-P 4 2'
loop_
_atom_site_label
_atom_site_type_symbol
_atom_site_fract_x
_atom_site_fract_y
_atom_site_fract_z
Sr1 Sr 0.000 0.000 0.000
Mg1 Mg 0.000 0.500 0.500
Ta1 Ta 0.500 0.500 0.500
Pd1 Pd 0.500 0.500 0.000
# **Energy of formation**: 0.5523 eV per atom



# KSn2Sb2 | Alexandria via LeMat-Bulk | GGA-PBE | relaxed
data_KSn2Sb2
_chemical_formula_sum 'K2 Sn4 Sb4'
_cell_length_a 8.901
_cell_length_b 8.901
_cell_length_c 4.013
_cell_angle_alpha 90.00
_cell_angle_beta 90.00
_cell_angle_gamma 90.00
_symmetry_space_group_name_H-M 'P 4/m b m'
_symmetry_Int_Tables_number 127
_symmetry_space_group_name_Hall '-P 4 2ab'
loop_
_atom_site_label
_atom_site_type_symbol
_atom_site_fract_x
_atom_site_fract_y
_atom_site_fract_z
K1 K 0.000 0.000 0.000
Sn1 Sn 0.143 0.357 0.500
Sb1 Sb 0.135 0.635 0.000
# **Uncorrected formation energy**: -0.0802 eV per atom



Number 2 is which compound?
KSn2Sb2



Repeat the second record exactly.
# KSn2Sb2 | Alexandria via LeMat-Bulk | GGA-PBE | relaxed
data_KSn2Sb2
_chemical_formula_sum 'K2 Sn4 Sb4'
_cell_length_a 8.901
_cell_length_b 8.901
_cell_length_c 4.013
_cell_angle_alpha 90.00
_cell_angle_beta 90.00
_cell_angle_gamma 90.00
_symmetry_space_group_name_H-M 'P 4/m b m'
_symmetry_Int_Tables_number 127
_symmetry_space_group_name_Hall '-P 4 2ab'
loop_
_atom_site_label
_atom_site_type_symbol
_atom_site_fract_x
_atom_site_fract_y
_atom_site_fract_z
K1 K 0.000 0.000 0.000
Sn1 Sn 0.143 0.357 0.500
Sb1 Sb 0.135 0.635 0.000
# **Uncorrected formation energy**: -0.0802 eV per atom